1.
The following is a PBE calculation of a relaxed KRe2Sb crystal, from Alexandria.

Calculated values
- V (A^3/atom) = 25.368
- calculated density (g cm⁻³) = 8.7
- VASP energy (eV/cell) = -55.64
- formation energy from raw total energies (eV per atom) = 0.574

Unit cell a=8.2012 b=3.1763 c=7.8519 alpha=90.00 beta=97.15 gamma=90.00
Closest atoms and distances in Å follow each position.
Space group Cm (No. 8)
Inequivalent atoms, fractional coordinates:
K  0.0000  0.0000  0.0000  2 K 3.18, 1 Re 3.44, 1 Sb 3.54
Re  0.0042  0.5000  0.5554  3 Re 2.49-2.51
Re  0.2276  0.0000  0.6604  3 Re 2.49-2.51
Sb  0.2676  0.5000  0.3502  5 Re 2.85-2.96, 2 Sb 3.18


2.
The following is a PBE calculation of a relaxed ZrCo5Os crystal, from Alexandria.

Calculated values
- DFT formation energy (eV per atom) = -0.100
- V (A^3/atom) = 12.747
- calculated density (g cm⁻³) = 10.7
- VASP energy (eV/cell) = -224.03

Unit cell a=7.7696 b=4.7162 c=9.7405 alpha=90.00 beta=90.00 gamma=90.00
Closest atoms and distances in Å follow each position.
Space group Pnma (No. 62)
Inequivalent atoms, fractional coordinates:
Zr  0.2473  0.2500  0.0595  6 Co 2.68-2.83, 1 Os 2.96
Co  0.0528  0.7500  0.0851  1 Os 2.39, 4 Co 2.42-2.62
Co  0.0687  0.0067  0.3071  7 Co 2.29-2.48, 2 Os 2.52-2.55
Co  0.0969  0.2500  0.5221  5 Co 2.37-2.43, 1 Os 2.63
Co  0.1851  0.2500  0.7550  6 Co 2.32-2.42, 2 Os 2.55
Os  0.1427  0.7500  0.8500  8 Co 2.39-2.63


3.
The following is a PBE calculation of a relaxed LaMnAu4 crystal, from Alexandria.

Calculated values
- DFT formation energy (eV per atom) = -0.262
- V (A^3/atom) = 20.980
- calculated density (g cm⁻³) = 13.0
- VASP energy (eV/cell) = -115.10

Unit cell a=7.9556 b=7.9556 c=7.9556 alpha=90.00 beta=90.00 gamma=90.00
Closest atoms and distances in Å follow each position.
Space group F-43m (No. 216)
Inequivalent atoms, fractional coordinates:
La  0.0000  0.0000  0.0000  12 Au 3.30, 4 Mn 3.44
Mn  0.2500  0.2500  0.7500  12 Au 3.30, 4 La 3.44
Au  0.1242  0.1242  0.3758  6 Au 2.79-2.83


4.
The following is a PBE calculation of a relaxed TaAg2Br crystal, from Alexandria.

Calculated values
- V (A^3/atom) = 20.555
- polymorph energy (0 for the lowest one) (eV per formula unit) = 2.39
- calculated density (g cm⁻³) = 9.6
- VASP energy (eV/cell) = -15.99
- formation energy from raw total energies (eV per atom) = 0.810

Unit cell a=5.3469 b=5.3469 c=2.8759 alpha=90.00 beta=90.00 gamma=90.00
Closest atoms and distances in Å follow each position.
Space group P4/mmm (No. 123)
Inequivalent atoms, fractional coordinates:
Ta  0.0000  0.0000  0.0000  2 Ta 2.88, 8 Ag 3.04
Ag  0.0000  0.5000  0.5000  2 Ag 2.88, 4 Br 3.04, 4 Ta 3.04
Br  0.5000  0.5000  0.0000  2 Br 2.88, 8 Ag 3.04


5.
The following is a PBE calculation of a relaxed VPdSe2 crystal, from Alexandria.

Calculated values
- V (A^3/atom) = 18.520
- calculated density (g cm⁻³) = 7.1
- VASP energy (eV/cell) = -69.19
- formation energy from raw total energies (eV per atom) = -0.446

Unit cell a=3.2551 b=3.2551 c=24.2200 alpha=90.00 beta=90.00 gamma=120.00
Closest atoms and distances in Å follow each position.
Space group R-3m (No. 166, hexagonal axes)
Inequivalent atoms, fractional coordinates:
V  0.0000  0.0000  0.0000  6 Se 2.47
Pd  0.0000  0.0000  0.5000  2 Se 2.44
Se  0.0000  0.0000  0.3994  1 Pd 2.44, 3 V 2.47


6.
The following is a PBE calculation of a relaxed La4Pr3DySe8 crystal, from Alexandria.

Calculated values
- V (A^3/atom) = 27.474
- calculated density (g cm⁻³) = 6.7
- VASP energy (eV/cell) = -291.23
- formation energy from raw total energies (eV per atom) = -1.909

Unit cell a=8.5454 b=8.5454 c=20.8519 alpha=90.00 beta=90.00 gamma=120.00
Closest atoms and distances in Å follow each position.
Space group R-3m (No. 166, hexagonal axes)
Inequivalent atoms, fractional coordinates:
La  0.0000  0.0000  0.0000  6 Se 3.10
La  0.0000  0.5000  0.0000  6 Se 3.02
Pr  0.0000  0.5000  0.5000  6 Se 3.01
Dy  0.0000  0.0000  0.5000  6 Se 2.93
Se  0.0000  0.0000  0.2495  3 Pr 3.01, 3 La 3.02
Se  0.0085  0.5043  0.2474  1 Dy 2.93, 2 Pr 3.01, 3 La 3.02-3.10


7.
The following is a PBE calculation of a relaxed Pr2ScGa4Pd3 crystal, from Alexandria.

Calculated values
- DFT formation energy (eV per atom) = -0.740
- V (A^3/atom) = 20.516
- calculated density (g cm⁻³) = 7.5
- VASP energy (eV/cell) = -50.98

Unit cell a=4.2232 b=4.2232 c=11.5034 alpha=90.00 beta=90.00 gamma=90.00
Closest atoms and distances in Å follow each position.
Space group P-4m2 (No. 115)
Inequivalent atoms, fractional coordinates:
Pr  0.0000  0.5000  0.2366  8 Ga 3.24-3.44, 4 Pd 3.24
Sc  0.0000  0.0000  0.5000  4 Ga 2.76, 4 Pd 2.99
Ga  0.0000  0.0000  0.0000  4 Pd 2.57
Ga  0.0000  0.5000  0.6544  3 Pd 2.51-2.76, 2 Sc 2.76
Ga  0.5000  0.5000  0.0000  4 Pd 2.57
Pd  0.0000  0.5000  0.8730  5 Ga 2.51-2.57
Pd  0.5000  0.5000  0.5000  4 Ga 2.76, 4 Sc 2.99


8.
The following is a PBE calculation of a relaxed CePm6 crystal, from Alexandria.

Calculated values
- DFT formation energy (eV per atom) = 1.215
- V (A^3/atom) = 39.302
- calculated density (g cm⁻³) = 6.1
- VASP energy (eV/cell) = -51.87

Unit cell a=8.1943 b=8.1943 c=8.1943 alpha=90.00 beta=90.00 gamma=90.00
Closest atoms and distances in Å follow each position.
Space group Im-3m (No. 229)
Inequivalent atoms, fractional coordinates:
Ce  0.0000  0.0000  0.0000  24 Pm 4.58
Pm  0.0000  0.2500  0.5000  4 Pm 2.90


9.
The following is a PBE calculation of a relaxed BaFeReS2 crystal, from Alexandria.

Calculated values
- V (A^3/atom) = 21.292
- calculated density (g cm⁻³) = 6.9
- VASP energy (eV/cell) = -29.69
- formation energy from raw total energies (eV per atom) = 0.279

Unit cell a=4.8606 b=4.8606 c=4.5063 alpha=90.00 beta=90.00 gamma=90.00
Closest atoms and distances in Å follow each position.
Space group P4/mmm (No. 123)
Inequivalent atoms, fractional coordinates:
Ba  0.0000  0.0000  0.0000  8 S 3.31, 4 Re 3.44
Fe  0.5000  0.5000  0.5000  2 Re 2.25, 4 S 2.43
Re  0.5000  0.5000  0.0000  2 Fe 2.25
S  0.0000  0.5000  0.5000  2 Fe 2.43


10.
The following is a PBE calculation of a relaxed BaFeI2N crystal, from Alexandria.

Calculated values
- V (A^3/atom) = 50.000
- polymorph energy (0 for the lowest one) (eV per formula unit) = 5.34
- calculated density (g cm⁻³) = 3.1
- VASP energy (eV/cell) = -17.86
- formation energy from raw total energies (eV per atom) = 0.791

Unit cell a=6.7991 b=6.7991 c=5.4081 alpha=90.00 beta=90.00 gamma=90.00
Closest atoms and distances in Å follow each position.
Space group P4/mmm (No. 123)
Inequivalent atoms, fractional coordinates:
Ba  0.0000  0.0000  0.0000  2 N 2.70
Fe  0.5000  0.5000  0.5000  8 I 4.34, 4 N 4.81
I  0.0000  0.5000  0.0000  2 Ba 3.40
N  0.0000  0.0000  0.5000  2 Ba 2.70


11.
The following is a PBE calculation of a relaxed Y2Ho3Tm8 crystal, from Alexandria.

Calculated values
- DFT formation energy (eV per atom) = 0.168
- V (A^3/atom) = 31.516
- polymorph energy (0 for the lowest one) (eV per formula unit) = 0.00
- calculated density (g cm⁻³) = 8.2
- VASP energy (eV/cell) = -120.51

Unit cell a=5.5280 b=6.7191 c=22.0606 alpha=90.00 beta=90.00 gamma=90.00
Closest atoms and distances in Å follow each position.
Space group Immm (No. 71)
Inequivalent atoms, fractional coordinates:
Y  0.0000  0.0000  0.2231  11 Tm 3.27-3.57
Ho  0.0000  0.2649  0.5000  3 Ho 3.16-3.29, 2 Tm 3.34
Ho  0.0000  0.5000  0.0000  4 Ho 3.29
Tm  0.0000  0.0000  0.0746  1 Y 3.28, 5 Tm 3.29-3.62, 4 Ho 3.58
Tm  0.0000  0.2610  0.3485  4 Tm 3.21-3.51, 3 Y 3.27-3.57, 1 Ho 3.34
Tm  0.0000  0.5000  0.1828  4 Tm 3.35, 4 Y 3.46-3.48


12.
The following is a PBE calculation of a relaxed LaTmLu crystal, from Alexandria.

Calculated values
- DFT formation energy (eV per atom) = 0.089
- V (A^3/atom) = 31.795
- polymorph energy (0 for the lowest one) (eV per formula unit) = 0.14
- calculated density (g cm⁻³) = 8.4
- VASP energy (eV/cell) = -13.65

Unit cell a=5.6382 b=5.6382 c=3.4647 alpha=90.00 beta=90.00 gamma=120.00
Closest atoms and distances in Å follow each position.
Space group P-6m2 (No. 187)
Inequivalent atoms, fractional coordinates:
La  0.0000  0.0000  0.0000  3 Tm 3.26, 2 La 3.46
Tm  0.3333  0.6667  0.0000  3 La 3.26, 2 Tm 3.46
Lu  0.6667  0.3333  0.5000  2 Lu 3.46, 6 La 3.69, 6 Tm 3.69